No. 1
The following is a DFT calculation (PBE) of a relaxed structure of Cr2SbOs.

Unit cell a=2.9322 b=3.7826 c=5.4955 alpha=90.00 beta=90.00 gamma=90.00
Closest atoms and distances in Å follow each position.
Space group Pmmm (No. 47)
Asymmetric unit:
Cr 0.0000 0.0000 0.2288 (multiplicity 2)  1 Cr 2.51, 4 Os 2.70
Sb 0.5000 0.5000 0.5000 (multiplicity 1)  2 Os 2.75, 8 Cr 2.82, 2 Sb 2.93
Os 0.5000 0.5000 0.0000 (multiplicity 1)  8 Cr 2.70, 2 Sb 2.75, 2 Os 2.93

As for the formation energy without anion corrections: 36.5 kJ/mol of atoms. The density of states at the Fermi level is 1.15 states/eV per atom. The total DFT energy (no corrections) comes out at -33.09 eV per cell.

No. 2
The following is a DFT calculation (PBE) of a relaxed structure of CeNd4Te6.

Unit cell a=4.4140 b=14.7235 c=22.8474 alpha=90.00 beta=90.00 gamma=90.00
Closest atoms and distances in Å follow each position.
Space group Cmcm (No. 63)
Asymmetric unit:
Ce 0.0000 0.1577 0.2500 (multiplicity 4)  6 Te 3.20-3.28
Nd 0.0000 0.0866 0.6263 (multiplicity 8)  6 Te 3.16-3.18
Nd 0.0000 0.3563 0.5370 (multiplicity 8)  6 Te 3.15-3.26
Te 0.0000 0.0000 0.0000 (multiplicity 4)  6 Nd 3.16-3.17
Te 0.0000 0.1848 0.7500 (multiplicity 4)  2 Nd 3.17, 2 Ce 3.20
Te 0.0000 0.2682 0.0938 (multiplicity 8)  5 Nd 3.15-3.26
Te 0.0000 0.4448 0.6669 (multiplicity 8)  3 Nd 3.18-3.24, 2 Ce 3.28

As for the formation energy without anion corrections: -137.4 kJ/mol of atoms. The density of states at the Fermi level is 0.95 states/eV per atom. The total DFT energy (no corrections) comes out at -238.10 eV per cell.

No. 3
The following is a DFT calculation (PBE) of a relaxed structure of TiGaNiIr.

Unit cell a=3.9209 b=3.9209 c=7.1795 alpha=90.00 beta=90.00 gamma=90.00
Closest atoms and distances in Å follow each position.
Space group I-4m2 (No. 119)
Asymmetric unit:
Ti 0.0000 0.0000 0.0000 (multiplicity 2)  4 Ni 2.66, 4 Ir 2.66, 4 Ga 2.77
Ga 0.0000 0.0000 0.5000 (multiplicity 2)  4 Ni 2.66, 4 Ir 2.66, 4 Ti 2.77
Ni 0.0000 0.5000 0.2500 (multiplicity 2)  4 Ti 2.66, 4 Ga 2.66, 4 Ir 2.77
Ir 0.0000 0.5000 0.7500 (multiplicity 2)  4 Ti 2.66, 4 Ga 2.66, 4 Ni 2.77

The density of states at the Fermi level is 0.31 states/eV per atom. The total DFT energy (no corrections) comes out at -56.42 eV per cell.

No. 4
The following is a DFT calculation (PBE) of a relaxed structure of TiGaRh5.

Unit cell a=7.7226 b=9.3141 c=7.0627 alpha=90.00 beta=122.54 gamma=90.00
Closest atoms and distances in Å follow each position.
Space group C2/c (No. 15)
Asymmetric unit:
Ti 0.0000 0.1945 0.2500 (multiplicity 4)  5 Rh 2.39-2.67
Ga 0.2500 0.2500 0.0000 (multiplicity 4)  6 Rh 2.45-2.53
Rh 0.0000 0.0620 0.7500 (multiplicity 4)  1 Ti 2.39, 2 Ga 2.50, 2 Rh 2.63
Rh 0.0849 0.3499 0.6070 (multiplicity 8)  2 Ga 2.45-2.53, 2 Rh 2.58-2.61, 1 Ti 2.67
Rh 0.2165 0.4193 0.3472 (multiplicity 8)  2 Ti 2.53-2.70, 4 Rh 2.58-2.82

The density of states at the Fermi level is 1.35 states/eV per atom. As for the relative energy among the computed polymorphs: 1.288 eV/f.u. The total DFT energy (no corrections) comes out at -196.38 eV per cell.

No. 5
The following is a DFT calculation (PBE) of a relaxed structure of NaLaHgPt.

Unit cell a=7.3046 b=7.3046 c=7.3046 alpha=90.00 beta=90.00 gamma=90.00
Closest atoms and distances in Å follow each position.
Space group F-43m (No. 216)
Asymmetric unit:
Na 0.0000 0.0000 0.0000 (multiplicity 4)  4 Hg 3.16, 4 Pt 3.16
La 0.0000 0.0000 0.5000 (multiplicity 4)  4 Hg 3.16, 4 Pt 3.16
Hg 0.2500 0.2500 0.2500 (multiplicity 4)  4 La 3.16, 4 Na 3.16
Pt 0.2500 0.2500 0.7500 (multiplicity 4)  4 La 3.16, 4 Na 3.16

The density of states at the Fermi level is 0.84 states/eV per atom. The total DFT energy (no corrections) comes out at -58.66 eV per cell.

No. 6
The following is a DFT calculation (PBE) of a relaxed structure of YCrBr2.

Unit cell a=10.7685 b=3.5998 c=7.4822 alpha=90.00 beta=120.02 gamma=90.00
Closest atoms and distances in Å follow each position.
Space group Cm (No. 8)
Asymmetric unit:
Y 0.0000 0.0000 0.0000 (multiplicity 2)  5 Br 2.89-3.14, 2 Cr 3.15
Cr 0.2709 0.0000 0.6401 (multiplicity 2)  2 Br 2.91, 2 Y 3.15
Br 0.0525 0.5000 0.3426 (multiplicity 2)  2 Cr 2.91, 2 Y 2.95
Br 0.1970 0.5000 0.9651 (multiplicity 2)  3 Y 2.89-3.14

As for the formation energy without anion corrections: -46.9 kJ/mol of atoms. The density of states at the Fermi level is 0.47 states/eV per atom. As for the relative energy among the computed polymorphs: 0.377 eV/f.u. The total DFT energy (no corrections) comes out at -42.76 eV per cell.

No. 7
The following is a DFT calculation (PBE) of a relaxed structure of CuNiPd4.

Unit cell a=7.0860 b=4.1003 c=7.1335 alpha=90.00 beta=109.22 gamma=90.00
Closest atoms and distances in Å follow each position.
Space group C2/m (No. 12)
Asymmetric unit:
Cu 0.0000 0.0000 0.0000 (multiplicity 2)  8 Pd 2.52-2.54
Ni 0.0000 0.5000 0.5000 (multiplicity 2)  8 Pd 2.49-2.50
Pd 0.1233 0.5000 0.8699 (multiplicity 4)  1 Ni 2.49, 3 Cu 2.52
Pd 0.1257 0.0000 0.3774 (multiplicity 4)  3 Ni 2.50, 1 Cu 2.54

The density of states at the Fermi level is 1.18 states/eV per atom. As for the relative energy among the computed polymorphs: 1.945 eV/f.u. The total DFT energy (no corrections) comes out at -57.89 eV per cell.

No. 8
The following is a DFT calculation (PBE) of a relaxed structure of CsHfGe2.

Unit cell a=6.2011 b=6.2011 c=16.9572 alpha=90.00 beta=90.00 gamma=90.00
Closest atoms and distances in Å follow each position.
Space group I-42d (No. 122)
Asymmetric unit:
Cs 0.0000 0.0000 0.0000 (multiplicity 4)  8 Ge 4.04-4.08, 4 Hf 4.38
Hf 0.0000 0.0000 0.5000 (multiplicity 4)  4 Ge 2.63
Ge 0.0043 0.2500 0.6250 (multiplicity 8)  2 Hf 2.63

The density of states at the Fermi level is 0.46 states/eV per atom. As for the relative energy among the computed polymorphs: 0.000 eV/f.u. The total DFT energy (no corrections) comes out at -76.57 eV per cell.

No. 9
The following is a DFT calculation (PBE) of a relaxed structure of TaAs3Br.

Unit cell a=5.0137 b=5.0137 c=5.0137 alpha=90.00 beta=90.00 gamma=90.00
Closest atoms and distances in Å follow each position.
Space group Pm-3m (No. 221)
Asymmetric unit:
Ta 0.0000 0.0000 0.0000 (multiplicity 1)  6 As 2.51
As 0.0000 0.0000 0.5000 (multiplicity 3)  2 Ta 2.51
Br 0.5000 0.5000 0.5000 (multiplicity 1)  12 As 3.55

As for the formation energy without anion corrections: 21.7 kJ/mol of atoms. The density of states at the Fermi level is 0.82 states/eV per atom. As for the relative energy among the computed polymorphs: 0.000 eV/f.u. The total DFT energy (no corrections) comes out at -26.35 eV per cell.

No. 10
The following is a DFT calculation (PBE) of a relaxed structure of K3LiRu.

Unit cell a=6.1102 b=6.1102 c=6.1102 alpha=90.00 beta=90.00 gamma=90.00
Closest atoms and distances in Å follow each position.
Space group Pm-3m (No. 221)
Asymmetric unit:
K 0.0000 0.0000 0.5000 (multiplicity 3)  2 Ru 3.06
Li 0.5000 0.5000 0.5000 (multiplicity 1)  12 K 4.32
Ru 0.0000 0.0000 0.0000 (multiplicity 1)  6 K 3.06

The density of states at the Fermi level is 2.57 states/eV per atom. As for the relative energy among the computed polymorphs: 0.000 eV/f.u. The total DFT energy (no corrections) comes out at -9.30 eV per cell.

No. 11
The following is a DFT calculation (PBE) of a relaxed structure of Pr3Sm.

Unit cell a=3.7105 b=12.0253 c=6.4382 alpha=90.00 beta=90.00 gamma=90.00
Closest atoms and distances in Å follow each position.
Space group Imm2 (No. 44)
Asymmetric unit:
Pr 0.0000 0.0000 0.0000 (multiplicity 2)  8 Pr 3.67-3.71, 4 Sm 3.71-3.72
Pr 0.0000 0.2493 0.6704 (multiplicity 4)  9 Pr 3.67-3.72, 3 Sm 3.69
Sm 0.0000 0.5000 0.9998 (multiplicity 2)  10 Pr 3.69-3.72, 2 Sm 3.71

The density of states at the Fermi level is 1.72 states/eV per atom. As for the relative energy among the computed polymorphs: 0.077 eV/f.u. The total DFT energy (no corrections) comes out at -37.86 eV per cell.

No. 12
The following is a DFT calculation (PBE) of a relaxed structure of TmZnAgRh.

Unit cell a=6.5937 b=6.5937 c=6.5937 alpha=90.00 beta=90.00 gamma=90.00
Closest atoms and distances in Å follow each position.
Space group F-43m (No. 216)
Asymmetric unit:
Tm 0.0000 0.0000 0.0000 (multiplicity 4)  4 Rh 2.86, 4 Ag 2.86
Zn 0.0000 0.0000 0.5000 (multiplicity 4)  4 Rh 2.86, 4 Ag 2.86
Ag 0.2500 0.2500 0.7500 (multiplicity 4)  4 Tm 2.86, 4 Zn 2.86
Rh 0.2500 0.2500 0.2500 (multiplicity 4)  4 Tm 2.86, 4 Zn 2.86

The density of states at the Fermi level is 0.52 states/eV per atom. The total DFT energy (no corrections) comes out at -70.64 eV per cell.

- Number 4 is which compound?
  TiGaRh5

- The highest total DFT energy (no corrections) belongs to which entry?
  K3LiRu